# 1
Ca4CuRe: optimized geometry, PBEsol.

CIF file:
```
data_Ca4CuRe
_chemical_formula_sum 'Ca16 Cu4 Re4'
_symmetry_space_group_name_H-M 'F -4 3 m'
_symmetry_Int_Tables_number 216
_symmetry_space_group_name_Hall 'F -4 2 3'
_cell_length_a 8.358
_cell_length_b 8.358
_cell_length_c 8.358
_cell_angle_alpha 90.00
_cell_angle_beta 90.00
_cell_angle_gamma 90.00
loop_
_atom_site_label
_atom_site_type_symbol
_atom_site_fract_x
_atom_site_fract_y
_atom_site_fract_z
Ca1 Ca 0.124 0.124 0.124
Cu1 Cu 0.000 0.000 0.500
Re1 Re 0.250 0.250 0.750
```

Output
Magnetization ... 0.04 μB/f.u.
D(E_F) ... 33.43 states/eV/cell
Formation energy ... 1.3212 eV per atom

=====

# 2
Ca2CuRe: optimized geometry, PBEsol.

CIF file:
```
data_Ca2CuRe
_chemical_formula_sum 'Ca2 Cu1 Re1'
_symmetry_space_group_name_H-M 'P 4 m m'
_symmetry_Int_Tables_number 99
_cell_length_a 3.277
_cell_length_b 3.277
_cell_length_c 8.330
_cell_angle_alpha 90.00
_cell_angle_beta 90.00
_cell_angle_gamma 90.00
loop_
_symmetry_equiv_pos_as_xyz
'x,y,z'
'-y,x,z'
'-x,-y,z'
'y,-x,z'
'-x,y,z'
'y,x,z'
'x,-y,z'
'-y,-x,z'
loop_
_atom_site_label
_atom_site_type_symbol
_atom_site_fract_x
_atom_site_fract_y
_atom_site_fract_z
Ca1 Ca 0.000 0.000 0.000
Ca2 Ca 0.500 0.500 0.402
Cu1 Cu 0.000 0.000 0.636
Re1 Re 0.500 0.500 0.756
```

Output
Magnetization ... 1.02 μB/f.u.
Offset from the most stable computed form ... 0.0 meV/atom
D(E_F) ... 4.94 states/eV/cell
Formation energy ... 0.5323 eV per atom

=====

# 3
CaCuRe: optimized geometry, PBEsol.

CIF file:
```
data_CaCuRe
_chemical_formula_sum 'Ca4 Cu4 Re4'
_symmetry_space_group_name_H-M 'F -4 3 m'
_symmetry_Int_Tables_number 216
_symmetry_space_group_name_Hall 'F -4 2 3'
_cell_length_a 6.185
_cell_length_b 6.185
_cell_length_c 6.185
_cell_angle_alpha 90.00
_cell_angle_beta 90.00
_cell_angle_gamma 90.00
loop_
_atom_site_label
_atom_site_type_symbol
_atom_site_fract_x
_atom_site_fract_y
_atom_site_fract_z
Ca1 Ca 0.000 0.000 0.000
Cu1 Cu 0.250 0.250 0.750
Re1 Re 0.000 0.000 0.500
```

Output
Magnetization ... 2.18 μB/f.u.
Offset from the most stable computed form ... 496.0 meV/atom
D(E_F) ... 13.64 states/eV/cell
Formation energy ... 1.2448 eV per atom

=====

# 4
CaCuRe: optimized geometry, PBEsol.

CIF file:
```
data_CaCuRe
_chemical_formula_sum 'Ca1 Cu1 Re1'
_symmetry_space_group_name_H-M 'P 3 m 1'
_symmetry_Int_Tables_number 156
_cell_length_a 2.8140
_cell_length_b 2.8140
_cell_length_c 7.1691
_cell_angle_alpha 90.00
_cell_angle_beta 90.00
_cell_angle_gamma 120.00
loop_
_symmetry_equiv_pos_as_xyz
'x,y,z'
'-y,x-y,z'
'-x+y,-x,z'
'-y,-x,z'
'-x+y,y,z'
'x,x-y,z'
loop_
_atom_site_label
_atom_site_type_symbol
_atom_site_fract_x
_atom_site_fract_y
_atom_site_fract_z
Ca1 Ca 0.0000 0.0000 0.0000
Cu1 Cu 0.3333 0.6667 0.6483
Re1 Re 0.6667 0.3333 0.3573
```

Output
Magnetization ... 0.00 μB/f.u.
Offset from the most stable computed form ... 0.0 meV/atom
D(E_F) ... 1.61 states/eV/cell
Formation energy ... 0.7488 eV per atom

=====

# 5
CaCu2Re: optimized geometry, PBEsol.

CIF file:
```
data_CaCu2Re
_chemical_formula_sum 'Ca2 Cu4 Re2'
_symmetry_space_group_name_H-M 'I 4/m m m'
_symmetry_Int_Tables_number 139
_symmetry_space_group_name_Hall '-I 4 2'
_cell_length_a 4.475
_cell_length_b 4.475
_cell_length_c 6.305
_cell_angle_alpha 90.00
_cell_angle_beta 90.00
_cell_angle_gamma 90.00
loop_
_atom_site_label
_atom_site_type_symbol
_atom_site_fract_x
_atom_site_fract_y
_atom_site_fract_z
Ca1 Ca 0.000 0.000 0.000
Cu1 Cu 0.000 0.500 0.250
Re1 Re 0.000 0.000 0.500
```

Output
Magnetization ... 2.05 μB/f.u.
Offset from the most stable computed form ... 198.2 meV/atom
D(E_F) ... 6.30 states/eV/cell
Formation energy ... 0.6703 eV per atom

=====

# 6
CaCu2Re: optimized geometry, PBEsol.

CIF file:
```
data_CaCu2Re
_chemical_formula_sum 'Ca1 Cu2 Re1'
_symmetry_space_group_name_H-M 'P 4/m m m'
_symmetry_Int_Tables_number 123
_symmetry_space_group_name_Hall '-P 4 2'
_cell_length_a 2.775
_cell_length_b 2.775
_cell_length_c 7.954
_cell_angle_alpha 90.00
_cell_angle_beta 90.00
_cell_angle_gamma 90.00
loop_
_atom_site_label
_atom_site_type_symbol
_atom_site_fract_x
_atom_site_fract_y
_atom_site_fract_z
Ca1 Ca 0.000 0.000 0.000
Cu1 Cu 0.500 0.500 0.283
Re1 Re 0.000 0.000 0.500
```

Output
Magnetization ... 0.00 μB/f.u.
Offset from the most stable computed form ... 0.0 meV/atom
D(E_F) ... 3.61 states/eV/cell
Formation energy ... 0.4721 eV per atom

=====

# 7
Ca2CuRe: optimized geometry, PBEsol.

CIF file:
```
data_Ca2CuRe
_chemical_formula_sum 'Ca4 Cu2 Re2'
_symmetry_space_group_name_H-M 'I m m 2'
_symmetry_Int_Tables_number 44
_cell_length_a 2.972
_cell_length_b 5.098
_cell_length_c 10.772
_cell_angle_alpha 90.00
_cell_angle_beta 90.00
_cell_angle_gamma 90.00
loop_
_symmetry_equiv_pos_as_xyz
'x,y,z'
'-x,-y,z'
'-x,y,z'
'x,-y,z'
'x+1/2,y+1/2,z+1/2'
'-x+1/2,-y+1/2,z+1/2'
'-x+1/2,y+1/2,z+1/2'
'x+1/2,-y+1/2,z+1/2'
loop_
_atom_site_label
_atom_site_type_symbol
_atom_site_fract_x
_atom_site_fract_y
_atom_site_fract_z
Ca1 Ca 0.000 0.000 0.000
Ca2 Ca 0.000 0.500 0.199
Cu1 Cu 0.000 0.500 0.749
Re1 Re 0.000 0.000 0.433
```

Output
Magnetization ... 0.00 μB/f.u.
Offset from the most stable computed form ... 5.2 meV/atom
D(E_F) ... 6.86 states/eV/cell
Formation energy ... 0.5375 eV per atom

=====

# 8
CaCu4Rh: optimized geometry, PBEsol.

CIF file:
```
data_CaCu4Rh
_chemical_formula_sum 'Ca4 Cu16 Rh4'
_symmetry_space_group_name_H-M 'F -4 3 m'
_symmetry_Int_Tables_number 216
_symmetry_space_group_name_Hall 'F -4 2 3'
_cell_length_a 6.918
_cell_length_b 6.918
_cell_length_c 6.918
_cell_angle_alpha 90.00
_cell_angle_beta 90.00
_cell_angle_gamma 90.00
loop_
_atom_site_label
_atom_site_type_symbol
_atom_site_fract_x
_atom_site_fract_y
_atom_site_fract_z
Ca1 Ca 0.000 0.000 0.000
Cu1 Cu 0.124 0.124 0.624
Rh1 Rh 0.250 0.250 0.250
```

Output
Magnetization ... 0.00 μB/f.u.
D(E_F) ... 9.44 states/eV/cell
Formation energy ... -0.0601 eV per atom